Entry from Alexandria: an optimized crystal structure of NiIrPd2Se6 (GGA-PBE).

```
20
Lattice="5.371 -5.950 0.000 5.371 5.950 0.000 -2.407 0.000 6.125" Properties=species:S:1:pos:R:3 pbc="T T T"
Ni 3.566 3.203 4.594
Ni 4.769 -3.203 1.531
Ir 4.769 4.969 1.531
Ir 3.566 -4.969 4.594
Pd 3.377 0.995 1.621
Pd 2.174 -0.995 4.684
Pd 6.162 0.995 1.441
Pd 4.958 -0.995 4.504
Se 0.934 0.943 0.960
Se 2.988 3.408 2.164
Se -0.270 -0.943 4.022
Se 2.118 1.427 5.393
Se 6.550 3.408 0.899
Se 5.014 1.427 3.794
Se 3.321 -1.427 2.331
Se 1.785 -3.408 5.226
Se 6.218 -1.427 0.732
Se 8.605 0.943 2.103
Se 5.347 -3.408 3.961
Se 7.402 -0.943 5.165
```

Results
The space-group type is C2/c. For the total DFT energy (no corrections), the calculation gives -4.851 eV/atom. The value obtained for the raw formation energy is -258 meV/atom.